An optimized crystal structure of PmDy3In, computed with GGA-PBE.

## Properties
- Uncorrected energy: -4.44 eV per atom
- Formation enthalpy at 0 K: -180 meV/atom
- Offset from the most stable computed form: 0.000 eV/atom
- SG: Cmcm (63)

a = 4.857 Å, b = 4.847 Å, c = 12.863 Å
α = 90.00°, β = 79.12°, γ = 90.00°
Atoms (fractional coordinates):
Pm1 0.473 0.750 0.703
Pm2 0.176 0.250 0.297
Dy1 0.772 0.250 0.104
Dy2 0.372 0.250 0.904
Dy3 0.574 0.250 0.500
Dy4 0.276 0.750 0.096
Dy5 0.876 0.750 0.896
Dy6 0.074 0.750 0.500
In1 0.671 0.750 0.307
In2 0.978 0.250 0.693

=====

An optimized crystal structure of Sr2MgCrN4, computed with GGA-PBE.

## Properties
- Energy relative to the elements, uncorrected: -813 meV per atom
- Uncorrected energy: -6.80 eV per atom
- SG: Pmmn (59)

a = 5.767 Å, b = 6.071 Å, c = 7.013 Å
α = 90.00°, β = 90.00°, γ = 90.00°
Atoms (fractional coordinates):
Sr1 0.500 0.237 0.247
Sr2 0.500 0.237 0.753
Sr3 0.000 0.763 0.747
Sr4 0.000 0.763 0.253
Mg1 0.000 0.213 0.500
Mg2 0.500 0.787 0.000
Cr1 0.500 0.805 0.500
Cr2 0.000 0.195 0.000
N1 0.239 0.018 0.000
N2 0.739 0.982 0.500
N3 0.261 0.982 0.500
N4 0.761 0.018 0.000
N5 0.500 0.654 0.715
N6 0.000 0.346 0.215
N7 0.000 0.346 0.785
N8 0.500 0.654 0.285

=====

The highest uncorrected energy belongs to which entry?
PmDy3In